# 1
{
  "formula": "LiSbPd2",
  "functional": "GGA-PBE",
  "state": "relaxed",
  "energy_ev_per_atom": -4.52,
  "rho_g_cm3": 8.1,
  "lattice": [[4.4978, 0.0000, 0.0000], [-2.2489, 3.8952, 0.0000], [0.0000, 0.0000, 7.9844]],
  "species": ["Li", "Li", "Sb", "Sb", "Pd", "Pd", "Pd", "Pd"],
  "fractional_positions": [[0.0000, 0.0000, 0.2500], [0.0000, 0.0000, 0.7500], [0.3333, 0.6667, 0.2500], [0.6667, 0.3333, 0.7500], [0.3333, 0.6667, 0.5823], [0.3333, 0.6667, 0.9177], [0.6667, 0.3333, 0.0823], [0.6667, 0.3333, 0.4177]]
}



# 2
{
  "formula": "TbTl2Pd",
  "functional": "GGA-PBE",
  "state": "relaxed",
  "energy_ev_per_atom": -3.96,
  "rho_g_cm3": 11.8,
  "lattice": [[4.4488, 0.0000, 0.0000], [0.0000, 4.4488, 0.0000], [0.0000, 0.0000, 4.7747]],
  "species": ["Tb", "Tl", "Tl", "Pd"],
  "fractional_positions": [[0.0000, 0.0000, 0.0000], [0.0000, 0.5000, 0.5000], [0.5000, 0.0000, 0.5000], [0.5000, 0.5000, 0.0000]]
}



# 3
{
  "formula": "HfNb2Fe",
  "functional": "GGA-PBE",
  "state": "relaxed",
  "energy_ev_per_atom": -9.57,
  "rho_g_cm3": 10.4,
  "lattice": [[0.0000, 3.2239, 3.2239], [3.2239, 0.0000, 3.2239], [3.2239, 3.2239, 0.0000]],
  "species": ["Hf", "Nb", "Nb", "Fe"],
  "fractional_positions": [[0.0000, 0.0000, 0.0000], [0.5000, 0.5000, 0.5000], [0.7500, 0.7500, 0.7500], [0.2500, 0.2500, 0.2500]]
}



# 4
{
  "formula": "TmAuSeO",
  "functional": "GGA-PBE",
  "state": "relaxed",
  "energy_ev_per_atom": -5.87,
  "rho_g_cm3": 10.6,
  "lattice": [[9.4913, 0.0000, 0.0000], [0.0000, 5.5073, 0.0000], [0.0000, 0.0000, 5.5131]],
  "species": ["Tm", "Tm", "Tm", "Tm", "Au", "Au", "Au", "Au", "Se", "Se", "Se", "Se", "O", "O", "O", "O"],
  "fractional_positions": [[0.1135, 0.0010, 0.2500], [0.1135, 0.4990, 0.7500], [0.8865, 0.5010, 0.2500], [0.8865, 0.9990, 0.7500], [0.4968, 0.2500, 0.0000], [0.4968, 0.2500, 0.5000], [0.5032, 0.7500, 0.0000], [0.5032, 0.7500, 0.5000], [0.2797, 0.5020, 0.2500], [0.2797, 0.9980, 0.7500], [0.7203, 0.0020, 0.2500], [0.7203, 0.4980, 0.7500], [0.0006, 0.7500, 0.0000], [0.0006, 0.7500, 0.5000], [0.9994, 0.2500, 0.0000], [0.9994, 0.2500, 0.5000]]
}



# 5
{
  "formula": "Mg2Pa",
  "functional": "GGA-PBE",
  "state": "relaxed",
  "energy_ev_per_atom": -4.00,
  "rho_g_cm3": 6.3,
  "lattice": [[9.3416, 0.0000, 0.0000], [0.0000, 5.1230, 0.0000], [-4.0808, 0.0000, 12.2588]],
  "species": ["Mg", "Mg", "Mg", "Mg", "Mg", "Mg", "Mg", "Mg", "Mg", "Mg", "Mg", "Mg", "Mg", "Mg", "Mg", "Mg", "Pa", "Pa", "Pa", "Pa", "Pa", "Pa", "Pa", "Pa"],
  "fractional_positions": [[0.0400, 0.2500, 0.4595], [0.0780, 0.2500, 0.9699], [0.2675, 0.7500, 0.9438], [0.2792, 0.7500, 0.7041], [0.3775, 0.2500, 0.6057], [0.3991, 0.2500, 0.1130], [0.4161, 0.2500, 0.8696], [0.4359, 0.2500, 0.3739], [0.5641, 0.7500, 0.6261], [0.5839, 0.7500, 0.1304], [0.6009, 0.7500, 0.8870], [0.6225, 0.7500, 0.3943], [0.7208, 0.2500, 0.2959], [0.7325, 0.2500, 0.0562], [0.9220, 0.7500, 0.0301], [0.9600, 0.7500, 0.5405], [0.0534, 0.2500, 0.7144], [0.0880, 0.2500, 0.2264], [0.2343, 0.7500, 0.4123], [0.2586, 0.7500, 0.2103], [0.7414, 0.2500, 0.7897], [0.7657, 0.2500, 0.5877], [0.9120, 0.7500, 0.7736], [0.9466, 0.7500, 0.2856]]
}



# 6
{
  "formula": "TmMgNO",
  "functional": "GGA-PBE",
  "state": "relaxed",
  "energy_ev_per_atom": -6.64,
  "rho_g_cm3": 7.0,
  "lattice": [[3.7146, 0.0000, 0.0000], [0.0000, 3.7146, 0.0000], [0.0000, 0.0000, 7.6574]],
  "species": ["Tm", "Tm", "Mg", "Mg", "N", "N", "O", "O"],
  "fractional_positions": [[0.2500, 0.2500, 0.1452], [0.7500, 0.7500, 0.8548], [0.2500, 0.7500, 0.5000], [0.7500, 0.2500, 0.5000], [0.2500, 0.2500, 0.6310], [0.7500, 0.7500, 0.3690], [0.2500, 0.7500, 0.0000], [0.7500, 0.2500, 0.0000]]
}



# 7
{
  "formula": "DyHoGa2Ir4",
  "functional": "GGA-PBE",
  "state": "relaxed",
  "energy_ev_per_atom": -6.90,
  "rho_g_cm3": 15.1,
  "lattice": [[4.5788, 0.0000, 0.0000], [0.0000, 4.5788, 0.0000], [0.0000, 0.0000, 6.4770]],
  "species": ["Dy", "Ho", "Ga", "Ga", "Ir", "Ir", "Ir", "Ir"],
  "fractional_positions": [[0.0000, 0.0000, 0.0000], [0.5000, 0.5000, 0.5000], [0.0000, 0.0000, 0.5000], [0.5000, 0.5000, 0.0000], [0.0000, 0.5000, 0.2505], [0.0000, 0.5000, 0.7495], [0.5000, 0.0000, 0.2505], [0.5000, 0.0000, 0.7495]]
}



# 8
{
  "formula": "YHoNi2Sn4",
  "functional": "GGA-PBE",
  "state": "relaxed",
  "energy_ev_per_atom": -5.27,
  "rho_g_cm3": 8.0,
  "lattice": [[4.4198, 0.0000, 0.0000], [0.0000, 2.1305, 9.3803], [0.0000, -2.1305, 9.3803]],
  "species": ["Y", "Ho", "Ni", "Ni", "Sn", "Sn", "Sn", "Sn"],
  "fractional_positions": [[0.0000, 0.0000, 0.0000], [0.5000, 0.2204, 0.2204], [0.0000, 0.7855, 0.7855], [0.5000, 0.4339, 0.4339], [0.0000, 0.3620, 0.3620], [0.0000, 0.6556, 0.6556], [0.5000, 0.5642, 0.5642], [0.5000, 0.8573, 0.8573]]
}



# 9
{
  "formula": "MgTlInPt",
  "functional": "GGA-PBE",
  "state": "relaxed",
  "energy_ev_per_atom": -3.33,
  "rho_g_cm3": 10.7,
  "lattice": [[0.0000, 3.4731, 3.4731], [3.4731, 0.0000, 3.4731], [3.4731, 3.4731, 0.0000]],
  "species": ["Mg", "Tl", "In", "Pt"],
  "fractional_positions": [[0.0000, 0.0000, 0.0000], [0.7500, 0.7500, 0.7500], [0.5000, 0.5000, 0.5000], [0.2500, 0.2500, 0.2500]]
}



# 10
{
  "formula": "InAsOsO",
  "functional": "GGA-PBE",
  "state": "relaxed",
  "energy_ev_per_atom": -5.97,
  "rho_g_cm3": 8.3,
  "lattice": [[3.7281, 0.0000, 0.0000], [0.0000, 7.7997, 0.0000], [0.0000, 0.0000, 5.4233]],
  "species": ["In", "In", "As", "As", "Os", "Os", "O", "O"],
  "fractional_positions": [[0.0000, 0.0753, 0.0000], [0.0000, 0.9247, 0.5000], [0.5000, 0.3553, 0.8483], [0.5000, 0.6447, 0.3483], [0.5000, 0.3321, 0.4021], [0.5000, 0.6679, 0.9021], [0.0000, 0.3217, 0.3862], [0.0000, 0.6783, 0.8862]]
}



# 11
{
  "formula": "DyTmC2Cl2",
  "functional": "GGA-PBE",
  "state": "relaxed",
  "energy_ev_per_atom": -6.45,
  "rho_g_cm3": 5.3,
  "lattice": [[3.4316, -1.8459, 0.0000], [3.4316, 1.8459, 0.0000], [-1.0518, 0.0000, 10.5790]],
  "species": ["Dy", "Tm", "C", "C", "Cl", "Cl"],
  "fractional_positions": [[0.0000, 0.0000, 0.0000], [0.2917, 0.2917, 0.2766], [0.5725, 0.5725, 0.1780], [0.7198, 0.7198, 0.1045], [0.3232, 0.3232, 0.8375], [0.9645, 0.9645, 0.4353]]
}



# 12
{
  "formula": "Ac2Tm2O5",
  "functional": "GGA-PBE",
  "state": "relaxed",
  "energy_ev_per_atom": -7.69,
  "rho_g_cm3": 9.7,
  "lattice": [[4.3045, 0.0000, 0.0000], [0.0000, 4.3045, 0.0000], [0.0000, 0.0000, 8.0613]],
  "species": ["Ac", "Ac", "Tm", "Tm", "O", "O", "O", "O", "O"],
  "fractional_positions": [[0.0000, 0.0000, 0.0000], [0.0000, 0.0000, 0.5000], [0.5000, 0.5000, 0.2379], [0.5000, 0.5000, 0.7621], [0.0000, 0.5000, 0.2486], [0.0000, 0.5000, 0.7514], [0.5000, 0.0000, 0.2486], [0.5000, 0.0000, 0.7514], [0.5000, 0.5000, 0.5000]]
}



# 13
{
  "formula": "TmNbN2O",
  "functional": "GGA-PBE",
  "state": "relaxed",
  "energy_ev_per_atom": -8.63,
  "rho_g_cm3": 7.6,
  "lattice": [[6.1769, 0.0000, 0.0000], [-3.0885, 5.3494, 0.0000], [0.0000, 0.0000, 12.0821]],
  "species": ["Tm", "Tm", "Tm", "Tm", "Tm", "Tm", "Nb", "Nb", "Nb", "Nb", "Nb", "Nb", "N", "N", "N", "N", "N", "N", "N", "N", "N", "N", "N", "N", "O", "O", "O", "O", "O", "O"],
  "fractional_positions": [[0.0000, 0.0000, 0.0000], [0.0000, 0.0000, 0.5000], [0.3333, 0.6667, 0.4617], [0.3333, 0.6667, 0.9617], [0.6667, 0.3333, 0.4617], [0.6667, 0.3333, 0.9617], [0.0000, 0.3334, 0.2277], [0.0000, 0.6666, 0.7277], [0.3334, 0.0000, 0.2277], [0.3334, 0.3334, 0.7277], [0.6666, 0.0000, 0.7277], [0.6666, 0.6666, 0.2277], [0.0000, 0.3062, 0.3901], [0.0000, 0.3636, 0.0683], [0.0000, 0.6364, 0.5683], [0.0000, 0.6938, 0.8901], [0.3062, 0.0000, 0.3901], [0.3062, 0.3062, 0.8901], [0.3636, 0.0000, 0.0683], [0.3636, 0.3636, 0.5683], [0.6364, 0.0000, 0.5683], [0.6364, 0.6364, 0.0683], [0.6938, 0.0000, 0.8901], [0.6938, 0.6938, 0.3901], [0.0000, 0.0000, 0.2026], [0.0000, 0.0000, 0.7026], [0.3333, 0.6667, 0.2463], [0.3333, 0.6667, 0.7463], [0.6667, 0.3333, 0.2463], [0.6667, 0.3333, 0.7463]]
}



# 14
{
  "formula": "GaCu2As",
  "functional": "GGA-PBE",
  "state": "relaxed",
  "energy_ev_per_atom": -3.63,
  "rho_g_cm3": 7.5,
  "lattice": [[6.2216, 0.0000, 0.0000], [0.0000, 6.2216, 0.0000], [0.0000, 0.0000, 6.2216]],
  "species": ["Ga", "Ga", "Ga", "Ga", "Cu", "Cu", "Cu", "Cu", "Cu", "Cu", "Cu", "Cu", "As", "As", "As", "As"],
  "fractional_positions": [[0.0000, 0.0000, 0.0000], [0.0000, 0.0000, 0.5000], [0.0000, 0.5000, 0.0000], [0.5000, 0.0000, 0.0000], [0.2427, 0.2427, 0.2427], [0.2427, 0.2427, 0.7573], [0.2427, 0.7573, 0.2427], [0.2427, 0.7573, 0.7573], [0.7573, 0.2427, 0.2427], [0.7573, 0.2427, 0.7573], [0.7573, 0.7573, 0.2427], [0.7573, 0.7573, 0.7573], [0.0000, 0.5000, 0.5000], [0.5000, 0.0000, 0.5000], [0.5000, 0.5000, 0.0000], [0.5000, 0.5000, 0.5000]]
}



# 15
{
  "formula": "TbNbH4",
  "functional": "GGA-PBE",
  "state": "relaxed",
  "energy_ev_per_atom": -5.11,
  "rho_g_cm3": 7.5,
  "lattice": [[3.4499, 0.0000, 0.0000], [0.0000, 3.4499, 0.0000], [0.0000, 0.0000, 4.7754]],
  "species": ["Tb", "Nb", "H", "H", "H", "H"],
  "fractional_positions": [[0.0000, 0.0000, 0.0000], [0.5000, 0.5000, 0.5000], [0.0000, 0.5000, 0.2888], [0.0000, 0.5000, 0.7112], [0.5000, 0.0000, 0.2888], [0.5000, 0.0000, 0.7112]]
}



# 16
{
  "formula": "MgCuSb",
  "functional": "GGA-PBE",
  "state": "relaxed",
  "energy_ev_per_atom": -3.33,
  "rho_g_cm3": 5.8,
  "lattice": [[7.3635, 0.0000, 0.0000], [0.0000, 4.3077, 0.0000], [0.0000, 0.0000, 7.5272]],
  "species": ["Mg", "Mg", "Mg", "Mg", "Cu", "Cu", "Cu", "Cu", "Sb", "Sb", "Sb", "Sb"],
  "fractional_positions": [[0.0202, 0.2500, 0.2114], [0.4798, 0.7500, 0.7114], [0.5202, 0.2500, 0.2886], [0.9798, 0.7500, 0.7886], [0.1009, 0.2500, 0.5682], [0.3991, 0.7500, 0.0682], [0.6009, 0.2500, 0.9318], [0.8991, 0.7500, 0.4318], [0.2398, 0.2500, 0.9007], [0.2602, 0.7500, 0.4007], [0.7398, 0.2500, 0.5993], [0.7602, 0.7500, 0.0993]]
}



# 17
{
  "formula": "LuZnFeSb",
  "functional": "GGA-PBE",
  "state": "relaxed",
  "energy_ev_per_atom": -4.57,
  "rho_g_cm3": 9.4,
  "lattice": [[0.0000, 3.3254, 3.3254], [3.3254, 0.0000, 3.3254], [3.3254, 3.3254, 0.0000]],
  "species": ["Lu", "Zn", "Fe", "Sb"],
  "fractional_positions": [[0.0000, 0.0000, 0.0000], [0.2500, 0.2500, 0.2500], [0.7500, 0.7500, 0.7500], [0.5000, 0.5000, 0.5000]]
}



# 18
{
  "formula": "Zr3W",
  "functional": "GGA-PBE",
  "state": "relaxed",
  "energy_ev_per_atom": -9.51,
  "rho_g_cm3": 9.1,
  "lattice": [[6.0587, 0.0000, 0.0000], [0.0000, 4.7235, 0.0000], [-1.7469, 0.0000, 5.8172]],
  "species": ["Zr", "Zr", "Zr", "Zr", "Zr", "Zr", "W", "W"],
  "fractional_positions": [[0.1113, 0.2500, 0.1371], [0.1567, 0.2500, 0.6567], [0.3639, 0.7500, 0.3918], [0.6361, 0.2500, 0.6082], [0.8433, 0.7500, 0.3433], [0.8887, 0.7500, 0.8629], [0.4062, 0.7500, 0.9063], [0.5938, 0.2500, 0.0937]]
}



# 19
{
  "formula": "Tb2HoAl7Ag2",
  "functional": "GGA-PBE",
  "state": "relaxed",
  "energy_ev_per_atom": -4.26,
  "rho_g_cm3": 6.3,
  "lattice": [[2.7746, 1.6019, 8.7819], [-2.7746, 1.6019, 8.7819], [0.0000, -3.2038, 8.7819]],
  "species": ["Tb", "Tb", "Ho", "Al", "Al", "Al", "Al", "Al", "Al", "Al", "Ag", "Ag"],
  "fractional_positions": [[0.1421, 0.1421, 0.1421], [0.8579, 0.8579, 0.8579], [0.0000, 0.0000, 0.0000], [0.0758, 0.5875, 0.5875], [0.4125, 0.4125, 0.9242], [0.4125, 0.9242, 0.4125], [0.5000, 0.5000, 0.5000], [0.5875, 0.0758, 0.5875], [0.5875, 0.5875, 0.0758], [0.9242, 0.4125, 0.4125], [0.3358, 0.3358, 0.3358], [0.6642, 0.6642, 0.6642]]
}



# 20
{
  "formula": "MgScCuTe3",
  "functional": "GGA-PBE",
  "state": "relaxed",
  "energy_ev_per_atom": -4.25,
  "rho_g_cm3": 5.6,
  "lattice": [[7.9900, 0.0000, 0.0000], [0.0000, 4.0363, 0.0000], [-2.0201, 0.0000, 9.5049]],
  "species": ["Mg", "Mg", "Sc", "Sc", "Cu", "Cu", "Te", "Te", "Te", "Te", "Te", "Te"],
  "fractional_positions": [[0.2070, 0.2500, 0.2839], [0.7930, 0.7500, 0.7161], [0.3186, 0.7500, 0.8226], [0.6814, 0.2500, 0.1774], [0.0759, 0.2500, 0.5783], [0.9241, 0.7500, 0.4217], [0.0662, 0.2500, 0.8473], [0.2725, 0.7500, 0.5188], [0.4071, 0.7500, 0.1429], [0.5929, 0.2500, 0.8571], [0.7275, 0.2500, 0.4812], [0.9338, 0.7500, 0.1527]]
}